First-principles (meta-GGA SCAN) data for a crystal of TlNi2Br relaxed with PBEsol, as listed in Alexandria.

## Properties
Calculated density   10.12 g cm⁻³
E_form (uncorrected)   2.11 eV per formula unit
Energy above the lowest structure with this stoichiometry   0.06 eV per formula unit
M_tot   0.000 μB/atom

Cell: 4.611 4.634 6.166 Å, 90.00 90.00 90.00°
Space group Cmmm (No. 65)
Asymmetric unit:
Tl (0.000, 0.000, 0.000) x2
Ni (0.000, 0.500, 0.218) x4
Br (0.000, 0.000, 0.500) x2

First-principles (meta-GGA SCAN) data for a crystal of RbSb3Mo relaxed with PBEsol, as listed in Alexandria.

## Properties
Calculated density   6.07 g cm⁻³
E_form (uncorrected)   0.81 eV per formula unit
Energy above the lowest structure with this stoichiometry   0.00 eV per formula unit
M_tot   0.000 μB/atom

Cell: 5.308 5.308 5.308 Å, 90.00 90.00 90.00°
Space group Pm-3m (No. 221)
Asymmetric unit:
Rb (0.000, 0.000, 0.000) x1
Sb (0.000, 0.500, 0.500) x3
Mo (0.500, 0.500, 0.500) x1

First-principles (meta-GGA SCAN) data for a crystal of ScHgCl relaxed with PBEsol, as listed in Alexandria.

## Properties
Calculated density   7.26 g cm⁻³
E_form (uncorrected)   -2.44 eV per formula unit
M_tot   0.000 μB/atom

Cell: 4.3921 4.3921 3.8472 Å, 90.00 90.00 120.00°
Space group P-6m2 (No. 187)
Asymmetric unit:
Sc (0.0000, 0.0000, 0.0000) x1
Hg (0.6667, 0.3333, 0.5000) x1
Cl (0.3333, 0.6667, 0.0000) x1

First-principles (meta-GGA SCAN) data for a crystal of OsRuRh2 relaxed with PBEsol, as listed in Alexandria.

## Properties
Calculated density   15.25 g cm⁻³
Energy above the lowest structure with this stoichiometry   0.00 eV per formula unit
M_tot   0.000 μB/atom

Cell: 2.672 2.672 7.582 Å, 90.00 90.00 90.00°
Space group P4mm (No. 99)
Asymmetric unit:
Os (0.000, 0.000, 0.000) x1
Ru (0.500, 0.500, 0.752) x1
Rh (0.000, 0.000, 0.505) x1
Rh (0.500, 0.500, 0.249) x1

First-principles (meta-GGA SCAN) data for a crystal of AlCdW2 relaxed with PBEsol, as listed in Alexandria.

## Properties
Calculated density   13.00 g cm⁻³
Energy above the lowest structure with this stoichiometry   0.40 eV per formula unit
M_tot   0.000 μB/atom

Cell: 2.732 4.458 5.481 Å, 90.00 104.05 90.00°
Space group P2/m (No. 10)
Asymmetric unit:
Al (0.000, 0.000, 0.000) x1
Cd (0.000, 0.000, 0.500) x1
W (0.492, 0.500, 0.233) x2

First-principles (meta-GGA SCAN) data for a crystal of KBa2ScPd relaxed with PBEsol, as listed in Alexandria.

## Properties
Calculated density   3.68 g cm⁻³
E   -26.974 eV/atom
M_tot   0.000 μB/atom

Cell: 6.345 6.345 5.209 Å, 90.00 90.00 90.00°
Space group P4/mmm (No. 123)
Asymmetric unit:
K (0.000, 0.000, 0.000) x1
Ba (0.000, 0.500, 0.500) x2
Sc (0.500, 0.500, 0.000) x1
Pd (0.500, 0.500, 0.500) x1

First-principles (meta-GGA SCAN) data for a crystal of Cd3Cu relaxed with PBEsol, as listed in Alexandria.

## Properties
Calculated density   9.32 g cm⁻³
E   -26.506 eV/atom
M_tot   0.000 μB/atom

Cell: 4.148 4.148 4.148 Å, 90.00 90.00 90.00°
Space group Pm-3m (No. 221)
Asymmetric unit:
Cd (0.000, 0.000, 0.500) x3
Cu (0.500, 0.500, 0.500) x1

First-principles (meta-GGA SCAN) data for a crystal of CrInPb2 relaxed with PBEsol, as listed in Alexandria.

## Properties
Calculated density   9.88 g cm⁻³
E   -50.604 eV/atom
M_tot   1.091 μB/atom

Cell: 6.595 8.561 3.459 Å, 90.00 90.00 90.00°
Space group Cmmm (No. 65)
Asymmetric unit:
Cr (0.000, 0.000, 0.000) x2
In (0.000, 0.500, 0.000) x2
Pb (0.250, 0.250, 0.500) x4

Q: Look up the calculated density of the sixth one.
A: 3.68 g cm⁻³